9
Lattice="5.254 0.000 0.000 -2.627 4.549 0.005 0.000 -0.011 9.695" Properties=species:S:1:pos:R:3 comment="CeIn2Hg6 PBE optimized geometry" magmom_total_mub_per_fu=0.91 relative_energy_mev_per_atom=0 final_energy_ev_per_fu=-14.56 pbc="T T T"
Ce 0.000 -0.006 4.848
Hg 2.627 1.505 9.524
Hg 0.000 0.001 1.566
Hg 2.627 1.508 6.249
Hg 2.627 4.537 8.134
Hg 0.000 3.030 3.451
Hg 0.000 3.033 0.177
In 0.000 3.024 6.687
In 2.627 1.514 3.013